# V2NiTeRu, optimized geometry, DFT PBE
data_V2NiTeRu
_symmetry_space_group_name_H-M 'P 4/m m m'
_symmetry_Int_Tables_number 123
_symmetry_space_group_name_Hall '-P 4 2'
_cell_length_a 4.338
_cell_length_b 4.338
_cell_length_c 4.685
_cell_angle_alpha 90.00
_cell_angle_beta 90.00
_cell_angle_gamma 90.00
loop_
_atom_site_label
_atom_site_type_symbol
_atom_site_fract_x
_atom_site_fract_y
_atom_site_fract_z
V1 V 0.000 0.500 0.000
Ni1 Ni 0.000 0.000 0.000
Te1 Te 0.000 0.000 0.500
Ru1 Ru 0.500 0.500 0.500
# - formation energy from raw total energies (meV/atom) = 1072